# 1
# SmPa2PdN5 GGA-PBE relaxed
# Total magnetization in μB per cell: 0.0
# Volume in A^3/atom: 14.38
# Formation energy from raw total energies in kJ/mol of atoms: -94.2
data_SmPa2PdN5
_chemical_formula_sum 'Sm4 Pa8 Pd4 N20'
_space_group_name_H-M_alt 'C m c 21'
_space_group_IT_number 36
_cell_length_a 3.564
_cell_length_b 13.006
_cell_length_c 11.167
_cell_angle_alpha 90.00
_cell_angle_beta 90.00
_cell_angle_gamma 90.00
loop_
_space_group_symop_operation_xyz
'x,y,z'
'-x,-y,z+1/2'
'-x,y,z'
'x,-y,z+1/2'
'x+1/2,y+1/2,z'
'-x+1/2,-y+1/2,z+1/2'
'-x+1/2,y+1/2,z'
'x+1/2,-y+1/2,z+1/2'
loop_
_atom_site_label
_atom_site_type_symbol
_atom_site_fract_x
_atom_site_fract_y
_atom_site_fract_z
Sm1 Sm 0.000 0.207 0.000
Pa1 Pa 0.000 0.098 0.693
Pa2 Pa 0.000 0.150 0.281
Pd1 Pd 0.000 0.479 0.469
N1 N 0.000 0.060 0.111
N2 N 0.000 0.270 0.683
N3 N 0.000 0.331 0.360
N4 N 0.000 0.382 0.066
N5 N 0.000 0.459 0.800

---

# 2
# Sm2PaPdN4 GGA-PBE relaxed
# Total magnetization in μB per cell: 0.0
# Volume in A^3/atom: 15.03
# Formation energy from raw total energies in kJ/mol of atoms: -97.0
data_Sm2PaPdN4
_chemical_formula_sum 'Sm2 Pa1 Pd1 N4'
_space_group_name_H-M_alt 'P 1 2/m 1'
_space_group_IT_number 10
_cell_length_a 6.173
_cell_length_b 3.458
_cell_length_c 6.263
_cell_angle_alpha 90.00
_cell_angle_beta 115.98
_cell_angle_gamma 90.00
loop_
_space_group_symop_operation_xyz
'x,y,z'
'-x,-y,-z'
'-x,y,-z'
'x,-y,z'
loop_
_atom_site_label
_atom_site_type_symbol
_atom_site_fract_x
_atom_site_fract_y
_atom_site_fract_z
Sm1 Sm 0.000 0.000 0.000
Sm2 Sm 0.500 0.500 0.000
Pa1 Pa 0.000 0.500 0.500
Pd1 Pd 0.500 0.000 0.500
N1 N 0.201 0.000 0.754
N2 N 0.253 0.500 0.280

---

# 3
# SmPa2PdN4 GGA-PBE relaxed
# Total magnetization in μB per cell: 0.0
# Volume in A^3/atom: 15.21
# Formation energy from raw total energies in kJ/mol of atoms: -119.4
data_SmPa2PdN4
_chemical_formula_sum 'Sm4 Pa8 Pd4 N16'
_space_group_name_H-M_alt 'C m c m'
_space_group_IT_number 63
_space_group_name_Hall '-C 2c 2'
_cell_length_a 3.539
_cell_length_b 11.495
_cell_length_c 11.968
_cell_angle_alpha 90.00
_cell_angle_beta 90.00
_cell_angle_gamma 90.00
loop_
_atom_site_label
_atom_site_type_symbol
_atom_site_fract_x
_atom_site_fract_y
_atom_site_fract_z
Sm1 Sm 0.000 0.101 0.250
Pa1 Pa 0.000 0.371 0.060
Pd1 Pd 0.000 0.170 0.750
N1 N 0.000 0.000 0.000
N2 N 0.000 0.270 0.597
N3 N 0.000 0.464 0.250

---

# 4
# PaSnPdN GGA-PBE relaxed
# Total magnetization in μB per cell: 0.0
# Volume in A^3/atom: 18.44
# Formation energy from raw total energies in kJ/mol of atoms: -89.8
data_PaSnPdN
_chemical_formula_sum 'Pa2 Sn2 Pd2 N2'
_space_group_name_H-M_alt 'P 4/n m m'
_space_group_IT_number 129
_cell_length_a 4.234
_cell_length_b 4.234
_cell_length_c 8.232
_cell_angle_alpha 90.00
_cell_angle_beta 90.00
_cell_angle_gamma 90.00
loop_
_space_group_symop_operation_xyz
'x,y,z'
'-x,-y,-z'
'-y+1/2,x,z'
'y+1/2,-x,-z'
'-x+1/2,-y+1/2,z'
'x+1/2,y+1/2,-z'
'y,-x+1/2,z'
'-y,x+1/2,-z'
'x+1/2,-y,-z'
'-x+1/2,y,z'
'-y,-x,-z'
'y,x,z'
'-x,y+1/2,-z'
'x,-y+1/2,z'
'y+1/2,x+1/2,-z'
'-y+1/2,-x+1/2,z'
loop_
_atom_site_label
_atom_site_type_symbol
_atom_site_fract_x
_atom_site_fract_y
_atom_site_fract_z
Pa1 Pa 0.250 0.250 0.121
Sn1 Sn 0.250 0.750 0.500
Pd1 Pd 0.250 0.250 0.709
N1 N 0.250 0.750 0.000

---

- Look up the volume of the fourth one.
  18.44 A^3/atom

---

- Which value of total magnetization does entry 2 give?
  0.0 μB per cell

---

- What is the formula in the fourth record?
  PaSnPdN